P) Here is an optimized crystal structure of BaCoTeAu from the Open Quantum Materials Database. Energies are from PBE.

SG ... F-43m
Volume ... 25.54 A^3/atom

abc: 5.2472 5.2472 5.2472
angles: 60.00 60.00 60.00
Atoms (fractional coordinates):
Au 0.7500 0.7500 0.7500
Ba 0.0000 0.0000 0.0000
Co 0.2500 0.2500 0.2500
Te 0.5000 0.5000 0.5000

***

Q) Here is an optimized crystal structure of BaCoTeAu from the Open Quantum Materials Database. Energies are from PBE.

SG ... F-43m
Volume ... 27.08 A^3/atom

abc: 5.3509 5.3509 5.3509
angles: 60.00 60.00 60.00
Atoms (fractional coordinates):
Au 0.7500 0.7500 0.7500
Ba 0.2500 0.2500 0.2500
Co 0.0000 0.0000 0.0000
Te 0.5000 0.5000 0.5000

***

R) Here is an optimized crystal structure of BaCoTeAu from the Open Quantum Materials Database. Energies are from PBE.

SG ... F-43m
Volume ... 27.03 A^3/atom

abc: 5.3474 5.3474 5.3474
angles: 60.00 60.00 60.00
Atoms (fractional coordinates):
Au 0.7500 0.7500 0.7500
Ba 0.5000 0.5000 0.5000
Co 0.0000 0.0000 0.0000
Te 0.2500 0.2500 0.2500

***

Structures ranked by computed energy, the most stable listed first: R), P), Q).

***

P) Here is an optimized crystal structure of BaCoWAu from the Open Quantum Materials Database. Energies are from PBE.

SG ... F-43m
Volume ... 21.47 A^3/atom

abc: 4.9521 4.9521 4.9521
angles: 60.00 60.00 60.00
Atoms (fractional coordinates):
Au 0.7500 0.7500 0.7500
Ba 0.0000 0.0000 0.0000
Co 0.2500 0.2500 0.2500
W 0.5000 0.5000 0.5000

***

Q) Here is an optimized crystal structure of BaCoWAu from the Open Quantum Materials Database. Energies are from PBE.

SG ... F-43m
Volume ... 18.88 A^3/atom

abc: 4.7442 4.7442 4.7442
angles: 60.00 60.00 60.00
Atoms (fractional coordinates):
Au 0.7500 0.7500 0.7500
Ba 0.2500 0.2500 0.2500
Co 0.0000 0.0000 0.0000
W 0.5000 0.5000 0.5000

***

Structures ranked by computed energy, the most stable listed first: P), Q).

***

P) Here is an optimized crystal structure of CsBaHfAu from the Open Quantum Materials Database. Energies are from PBE.

SG ... F-43m
Volume ... 37.46 A^3/atom

abc: 5.9618 5.9618 5.9618
angles: 60.00 60.00 60.00
Atoms (fractional coordinates):
Au 0.7500 0.7500 0.7500
Ba 0.5000 0.5000 0.5000
Cs 0.0000 0.0000 0.0000
Hf 0.2500 0.2500 0.2500

***

Q) Here is an optimized crystal structure of CsBaHfAu from the Open Quantum Materials Database. Energies are from PBE.

SG ... F-43m
Volume ... 31.40 A^3/atom

abc: 5.6212 5.6212 5.6212
angles: 60.00 60.00 60.00
Atoms (fractional coordinates):
Au 0.7500 0.7500 0.7500
Ba 0.2500 0.2500 0.2500
Cs 0.0000 0.0000 0.0000
Hf 0.5000 0.5000 0.5000

***

R) Here is an optimized crystal structure of CsBaHfAu from the Open Quantum Materials Database. Energies are from PBE.

SG ... F-43m
Volume ... 30.10 A^3/atom

abc: 5.5426 5.5426 5.5426
angles: 60.00 60.00 60.00
Atoms (fractional coordinates):
Au 0.7500 0.7500 0.7500
Ba 0.0000 0.0000 0.0000
Cs 0.2500 0.2500 0.2500
Hf 0.5000 0.5000 0.5000

***

Structures ranked by computed energy, the most stable listed first: R), Q), P).

***

P) Here is an optimized crystal structure of CsBaPbAu from the Open Quantum Materials Database. Energies are from PBE.

SG ... F-43m
Volume ... 33.61 A^3/atom

abc: 5.7500 5.7500 5.7500
angles: 60.00 60.00 60.00
Atoms (fractional coordinates):
Au 0.7500 0.7500 0.7500
Ba 0.0000 0.0000 0.0000
Cs 0.2500 0.2500 0.2500
Pb 0.5000 0.5000 0.5000

***

Q) Here is an optimized crystal structure of CsBaPbAu from the Open Quantum Materials Database. Energies are from PBE.

SG ... F-43m
Volume ... 38.94 A^3/atom

abc: 6.0394 6.0394 6.0394
angles: 60.00 60.00 60.00
Atoms (fractional coordinates):
Au 0.7500 0.7500 0.7500
Ba 0.5000 0.5000 0.5000
Cs 0.0000 0.0000 0.0000
Pb 0.2500 0.2500 0.2500

***

Structures ranked by computed energy, the most stable listed first: P), Q).

***

P) Here is an optimized crystal structure of CsBaSiAu from the Open Quantum Materials Database. Energies are from PBE.

SG ... F-43m
Volume ... 30.25 A^3/atom

abc: 5.5518 5.5518 5.5518
angles: 60.00 60.00 60.00
Atoms (fractional coordinates):
Au 0.7500 0.7500 0.7500
Ba 0.5000 0.5000 0.5000
Cs 0.2500 0.2500 0.2500
Si 0.0000 0.0000 0.0000

***

Q) Here is an optimized crystal structure of CsBaSiAu from the Open Quantum Materials Database. Energies are from PBE.

SG ... F-43m
Volume ... 30.58 A^3/atom

abc: 5.5720 5.5720 5.5720
angles: 60.00 60.00 60.00
Atoms (fractional coordinates):
Au 0.7500 0.7500 0.7500
Ba 0.2500 0.2500 0.2500
Cs 0.5000 0.5000 0.5000
Si 0.0000 0.0000 0.0000

***

Structures ranked by computed energy, the most stable listed first: P), Q).

***

P) Here is an optimized crystal structure of CsBaSnAu from the Open Quantum Materials Database. Energies are from PBE.

SG ... F-43m
Volume ... 32.73 A^3/atom

abc: 5.6997 5.6997 5.6997
angles: 60.00 60.00 60.00
Atoms (fractional coordinates):
Au 0.7500 0.7500 0.7500
Ba 0.5000 0.5000 0.5000
Cs 0.2500 0.2500 0.2500
Sn 0.0000 0.0000 0.0000

***

Q) Here is an optimized crystal structure of CsBaSnAu from the Open Quantum Materials Database. Energies are from PBE.

SG ... F-43m
Volume ... 38.22 A^3/atom

abc: 6.0017 6.0017 6.0017
angles: 60.00 60.00 60.00
Atoms (fractional coordinates):
Au 0.7500 0.7500 0.7500
Ba 0.0000 0.0000 0.0000
Cs 0.5000 0.5000 0.5000
Sn 0.2500 0.2500 0.2500

***

Structures ranked by computed energy, the most stable listed first: P), Q).